# GGA-PBE Ho3Ni2, relaxed
# calculated volume: 22.6 Å³/atom
# crystal system: orthorhombic
# size of the total moment: 0.0000 μB/atom
data_Ho3Ni2
_symmetry_space_group_name_H-M 'P n m a'
_symmetry_Int_Tables_number 62
_symmetry_space_group_name_Hall '-P 2ac 2n'
_cell_length_a 10.902
_cell_length_b 3.737
_cell_length_c 11.086
_cell_angle_alpha 90.00
_cell_angle_beta 90.00
_cell_angle_gamma 90.00
loop_
_atom_site_label
_atom_site_fract_x
_atom_site_fract_y
_atom_site_fract_z
_atom_site_occupancy
Ho1 0.053 0.250 0.131 1
Ho2 0.117 0.750 0.567 1
Ho3 0.218 0.250 0.815 1
Ni1 0.019 0.750 0.316 1
Ni2 0.189 0.750 0.002 1



# GGA-PBE Ho2NpNi9, relaxed
# calculated volume: 14.3 Å³/atom
# crystal system: trigonal
# size of the total moment: 0.1968 μB/atom
data_Ho2NpNi9
_symmetry_space_group_name_H-M 'R -3 m'
_symmetry_Int_Tables_number 166
_symmetry_space_group_name_Hall '-R 3 2"'
_cell_length_a 4.9404
_cell_length_b 4.9404
_cell_length_c 24.3152
_cell_angle_alpha 90.00
_cell_angle_beta 90.00
_cell_angle_gamma 120.00
loop_
_atom_site_label
_atom_site_fract_x
_atom_site_fract_y
_atom_site_fract_z
_atom_site_occupancy
Ho1 0.0000 0.0000 0.1390 1
Np1 0.0000 0.0000 0.0000 1
Ni1 0.0000 0.0000 0.3331 1
Ni2 0.0000 0.0000 0.5000 1
Ni3 0.0009 0.5004 0.9177 1



# GGA-PBE HoNpNi10, relaxed
# calculated volume: 13.5 Å³/atom
# crystal system: orthorhombic
# size of the total moment: 0.0199 μB/atom
data_HoNpNi10
_symmetry_space_group_name_H-M 'P m m m'
_symmetry_Int_Tables_number 47
_symmetry_space_group_name_Hall '-P 2 2'
_cell_length_a 3.961
_cell_length_b 4.858
_cell_length_c 8.412
_cell_angle_alpha 90.00
_cell_angle_beta 90.00
_cell_angle_gamma 90.00
loop_
_atom_site_label
_atom_site_fract_x
_atom_site_fract_y
_atom_site_fract_z
_atom_site_occupancy
Ho1 0.000 0.000 0.000 1
Np1 0.000 0.500 0.500 1
Ni1 0.000 0.000 0.336 1
Ni2 0.000 0.500 0.171 1
Ni3 0.500 0.000 0.500 1
Ni4 0.500 0.252 0.252 1
Ni5 0.500 0.500 0.000 1



# GGA-PBE HoNpNi4, relaxed
# calculated volume: 15.1 Å³/atom
# crystal system: cubic
# size of the total moment: 0.6410 μB/atom
data_HoNpNi4
_symmetry_space_group_name_H-M 'F -4 3 m'
_symmetry_Int_Tables_number 216
_symmetry_space_group_name_Hall 'F -4 2 3'
_cell_length_a 7.128
_cell_length_b 7.128
_cell_length_c 7.128
_cell_angle_alpha 90.00
_cell_angle_beta 90.00
_cell_angle_gamma 90.00
loop_
_atom_site_label
_atom_site_fract_x
_atom_site_fract_y
_atom_site_fract_z
_atom_site_occupancy
Ho1 0.000 0.000 0.000 1
Np1 0.250 0.250 0.750 1
Ni1 0.125 0.125 0.375 1



DFT formation energy across the listed records, respectively: -307, -312, -233, -235 meV per atom.
N(E_F) across the listed records, respectively: 0.678, 1.715, 1.613, 2.080 states/eV/atom.